# KSrZrO4 PBE optimized geometry
data_KSrZrO4
_space_group_name_H-M_alt 'P 1'
_space_group_IT_number 1
_space_group_name_Hall 'P 1'
_cell_length_a 4.191
_cell_length_b 4.191
_cell_length_c 7.208
_cell_angle_alpha 106.90
_cell_angle_beta 106.90
_cell_angle_gamma 90.00
loop_
_atom_site_label
_atom_site_type_symbol
_atom_site_fract_x
_atom_site_fract_y
_atom_site_fract_z
K1 K 0.650 0.650 0.301
Sr1 Sr 0.357 0.357 0.714
Zr1 Zr 0.009 0.009 0.018
O1 O 0.988 0.488 0.976
O2 O 0.488 0.988 0.976
O3 O 0.843 0.843 0.686
O4 O 0.164 0.164 0.329
# - Magnetic moment: 1.0 μB/cell
# - Volume: 115 Å³ per cell
# - ΔE_f (raw): -2.48 eV/atom
# - Space-group type: I4mm

# TaMoRuPt PBE optimized geometry
data_TaMoRuPt
_space_group_name_H-M_alt 'P 1'
_space_group_IT_number 1
_space_group_name_Hall 'P 1'
_cell_length_a 4.001
_cell_length_b 3.956
_cell_length_c 3.949
_cell_angle_alpha 90.00
_cell_angle_beta 90.00
_cell_angle_gamma 90.00
loop_
_atom_site_label
_atom_site_type_symbol
_atom_site_fract_x
_atom_site_fract_y
_atom_site_fract_z
Ta1 Ta 0.500 0.000 0.500
Mo1 Mo 0.000 0.500 0.500
Ru1 Ru 0.000 0.000 0.000
Pt1 Pt 0.500 0.500 0.000
# - Magnetic moment: 0.0 μB/cell
# - Volume: 62 Å³ per cell
# - Energy relative to the elements: -0.370 eV/atom
# - Space-group type: Pmmm

# Li14MgAl PBE optimized geometry
data_Li14MgAl
_space_group_name_H-M_alt 'P 1'
_space_group_IT_number 1
_space_group_name_Hall 'P 1'
_cell_length_a 5.807
_cell_length_b 5.807
_cell_length_c 9.723
_cell_angle_alpha 90.00
_cell_angle_beta 90.00
_cell_angle_gamma 111.25
loop_
_atom_site_label
_atom_site_type_symbol
_atom_site_fract_x
_atom_site_fract_y
_atom_site_fract_z
Li1 Li 0.156 0.844 0.000
Li2 Li 0.652 0.348 0.000
Li3 Li 0.117 0.387 0.500
Li4 Li 0.149 0.345 0.000
Li5 Li 0.613 0.883 0.500
Li6 Li 0.655 0.851 0.000
Li7 Li 0.369 0.137 0.745
Li8 Li 0.369 0.137 0.255
Li9 Li 0.863 0.631 0.745
Li10 Li 0.863 0.631 0.255
Li11 Li 0.373 0.627 0.742
Li12 Li 0.373 0.627 0.258
Li13 Li 0.859 0.141 0.740
Li14 Li 0.859 0.141 0.260
Mg1 Mg 0.113 0.887 0.500
Al1 Al 0.616 0.384 0.500
# - Magnetic moment: 0.0 μB/cell
# - Volume: 306 Å³ per cell
# - Energy relative to the elements: -0.021 eV/atom
# - Space-group type: Amm2

# YIrOF2 PBE optimized geometry
data_YIrOF2
_space_group_name_H-M_alt 'P 1'
_space_group_IT_number 1
_space_group_name_Hall 'P 1'
_cell_length_a 4.311
_cell_length_b 4.311
_cell_length_c 4.555
_cell_angle_alpha 90.00
_cell_angle_beta 90.00
_cell_angle_gamma 90.00
loop_
_atom_site_label
_atom_site_type_symbol
_atom_site_fract_x
_atom_site_fract_y
_atom_site_fract_z
Y1 Y 0.000 0.000 0.000
Ir1 Ir 0.500 0.500 0.500
O1 O 0.000 0.000 0.500
F1 F 0.000 0.500 0.000
F2 F 0.500 0.000 0.000
# - Excess energy over the best structure of this formula in the dataset: 0 meV per atom
# - Magnetic moment: 2.2 μB/cell
# - Volume: 85 Å³ per cell
# - ΔE_f (raw): -1.47 eV/atom
# - Space-group type: P4/mmm

# TlCd4In6 PBE optimized geometry
data_TlCd4In6
_space_group_name_H-M_alt 'P 1'
_space_group_IT_number 1
_space_group_name_Hall 'P 1'
_cell_length_a 4.516
_cell_length_b 8.765
_cell_length_c 8.765
_cell_angle_alpha 120.00
_cell_angle_beta 90.00
_cell_angle_gamma 90.00
loop_
_atom_site_label
_atom_site_type_symbol
_atom_site_fract_x
_atom_site_fract_y
_atom_site_fract_z
Tl1 Tl 0.000 0.000 0.000
Cd1 Cd 0.500 0.802 0.605
Cd2 Cd 0.500 0.395 0.198
Cd3 Cd 0.500 0.802 0.198
Cd4 Cd 0.000 0.333 0.667
In1 In 0.000 0.531 0.062
In2 In 0.500 0.615 0.808
In3 In 0.000 0.531 0.469
In4 In 0.000 0.938 0.469
In5 In 0.500 0.192 0.808
In6 In 0.500 0.192 0.385
# - Magnetic moment: 0.0 μB/cell
# - Volume: 300 Å³ per cell
# - Energy relative to the elements: 0.050 eV/atom
# - Space-group type: P-6m2

# Ca2GaF PBE optimized geometry
data_Ca2GaF
_space_group_name_H-M_alt 'P 1'
_space_group_IT_number 1
_space_group_name_Hall 'P 1'
_cell_length_a 3.598
_cell_length_b 3.598
_cell_length_c 9.594
_cell_angle_alpha 79.19
_cell_angle_beta 79.19
_cell_angle_gamma 60.00
loop_
_atom_site_label
_atom_site_type_symbol
_atom_site_fract_x
_atom_site_fract_y
_atom_site_fract_z
Ca1 Ca 0.107 0.107 0.679
Ca2 Ca 0.893 0.893 0.321
Ga1 Ga 0.000 0.000 0.000
F1 F 0.500 0.500 0.500
# - Excess energy over the best structure of this formula in the dataset: 452 meV per atom
# - Magnetic moment: 0.3 μB/cell
# - Volume: 105 Å³ per cell
# - ΔE_f (raw): -1.03 eV/atom
# - Space-group type: R-3m